VASP calculation (PBE) on a relaxed BaIrCF2 crystal.

```
5
Lattice="4.0932 0.0000 0.0000 0.0000 5.7301 0.0000 0.0000 0.0000 4.0932" Properties=species:S:1:pos:R:3 pbc="T T T"
C 0.0000 0.0000 0.0000
Ir 2.0466 2.8651 2.0466
Ba 0.0000 2.8651 0.0000
F 0.0000 0.0000 2.0466
F 2.0466 0.0000 0.0000
```

Size of the total moment   2.07 μB per formula unit
Raw total energy   -3.9527 eV/atom